Record 1
VASP calculation (GGA-PBE) on a relaxed structure of CdIn2Pb2.

```
CdIn2Pb2
1.0
7.7623 0.0000 0.0000
0.0000 7.7623 0.0000
0.0000 0.0000 4.8596
Cd In Pb
2 4 4
direct
0.0000 0.0000 0.0000
0.5000 0.5000 0.0000
0.1384 0.3616 0.0000
0.3616 0.8616 0.0000
0.6384 0.1384 0.0000
0.8616 0.6384 0.0000
0.1694 0.6694 0.5000
0.3306 0.1694 0.5000
0.6694 0.8306 0.5000
0.8306 0.3306 0.5000
```

Computed properties:
energy above the most stable polymorph in this dataset = 0.065 eV/atom
symmetry = P4/mbm, No. 127
final energy = -0.1969 Ry per atom
formation energy from the elements = 0.08 eV/atom
theoretical density = 8.6 g/cm3
total magnetization = 0.000 μB/cell

=====

Record 2
VASP calculation (GGA-PBE) on a relaxed structure of Sc2TaRh.

```
Sc2TaRh
1.0
-1.9553 1.9553 4.8656
1.9553 -1.9553 4.8656
1.9553 1.9553 -4.8656
Sc Ta Rh
2 1 1
direct
0.0000 0.0000 0.0000
0.7500 0.2500 0.5000
0.2500 0.7500 0.5000
0.5000 0.5000 0.0000
```

Computed properties:
energy above the most stable polymorph in this dataset = 0.265 eV/atom
symmetry = I-4m2, No. 119
final energy = -0.5928 Ry per atom
formation energy from the elements = -0.10 eV/atom
theoretical density = 8.3 g/cm3
total magnetization = 0.003 μB/cell

=====

Record 3
VASP calculation (GGA-PBE) on a relaxed structure of TlSnHgBi.

```
TlSnHgBi
1.0
0.0000 3.9106 3.9106
3.9106 0.0000 3.9106
3.9106 3.9106 0.0000
Tl Sn Hg Bi
1 1 1 1
direct
0.0000 0.0000 0.0000
0.5000 0.5000 0.5000
0.2500 0.2500 0.2500
0.7500 0.7500 0.7500
```

Computed properties:
energy above the most stable polymorph in this dataset = 0.021 eV/atom
symmetry = F-43m, No. 216
final energy = -0.1905 Ry per atom
formation energy from the elements = 0.05 eV/atom
theoretical density = 10.2 g/cm3
total magnetization = 0.000 μB/cell

=====

Q: Among the records above, which one has the highest formation energy from the elements?
A: CdIn2Pb2

=====

Q: What is the total magnetization in the first record?
A: 0.000 μB/cell